1.
The following is a DFT calculation (PBE-GGA) of an optimized crystal structure of Li2SiAgF8.

Cell lengths 4.599, 4.595, 6.569 Å; angles 89.98, 89.98, 89.96 degrees
Each line ends with the local moment (μB).
Sites, in units of the cell vectors:
Si 0.000 0.000 0.000  0.00
F 0.814 0.188 0.187  0.03
F 0.684 0.686 0.500  0.13
F 0.186 0.812 0.187  0.02
F 0.186 0.812 0.813  0.03
F 0.316 0.314 0.500  0.13
F 0.814 0.188 0.813  0.02
F 0.737 0.739 0.000  0.00
F 0.263 0.261 0.000  0.00
Li 0.500 0.500 0.753  0.00
Li 0.500 0.500 0.247  0.00
Ag 0.000 0.000 0.500  0.52

Computed properties:
**Density of states at the Fermi level**: 1.43 states/eV per cell



2.
The following is a DFT calculation (PBE-GGA) of an optimized crystal structure of LiAg2SnF8.

Cell lengths 5.166, 5.240, 6.938 Å; angles 89.99, 90.01, 97.20 degrees
Each line ends with the local moment (μB).
Sites, in units of the cell vectors:
F 0.174 0.831 0.787  0.00
F 0.826 0.169 0.213  0.00
F 0.174 0.831 0.213  0.00
F 0.279 0.280 0.500  0.12
F 0.702 0.701 0.000  0.06
F 0.298 0.299 0.000  0.06
F 0.826 0.169 0.787  0.00
F 0.721 0.720 0.500  0.12
Li 0.000 0.000 0.500  0.00
Sn 0.000 0.000 0.000  0.00
Ag 0.500 0.500 0.733  0.34
Ag 0.500 0.500 0.267  0.34

Computed properties:
**Density of states at the Fermi level**: 2.72 states/eV per cell



3.
The following is a DFT calculation (PBE-GGA) of an optimized crystal structure of SrLiAg2F8.

Cell lengths 5.509, 5.509, 6.706 Å; angles 114.25, 114.25, 90.00 degrees
Each line ends with the local moment (μB).
Sites, in units of the cell vectors:
F 0.323 0.887 0.222  0.17
F 0.665 0.677 0.778  0.17
F 0.559 0.138 0.732  0.21
F 0.113 0.102 0.778  0.17
F 0.173 0.594 0.732  0.21
F 0.898 0.335 0.222  0.17
F 0.406 0.441 0.268  0.21
F 0.862 0.827 0.268  0.21
Ag 0.500 0.500 0.000  0.70
Ag 0.250 0.750 0.500  0.71
Sr 0.750 0.250 0.500  0.00
Li 0.000 0.000 0.000  0.00

Computed properties:
**Density of states at the Fermi level**: 4.04 states/eV per cell



4.
The following is a DFT calculation (PBE-GGA) of an optimized crystal structure of SrLi3Ag4F12.

Cell lengths 7.149, 7.149, 7.149 Å; angles 109.47, 109.47, 109.47 degrees
Sites, in units of the cell vectors:
F 0.466 0.308 0.158
F 0.842 0.151 0.308
F 0.849 0.692 0.158
F 0.534 0.692 0.842
F 0.692 0.158 0.849
F 0.158 0.849 0.692
F 0.151 0.308 0.842
F 0.842 0.534 0.692
F 0.692 0.842 0.534
F 0.308 0.158 0.466
F 0.308 0.842 0.151
F 0.158 0.466 0.308
Sr 0.000 0.000 0.000
Ag 0.000 0.500 0.000
Ag 0.500 0.000 0.000
Ag 0.000 0.000 0.500
Ag 0.500 0.500 0.500
Li 0.500 0.000 0.500
Li 0.500 0.500 0.000
Li 0.000 0.500 0.500

Computed properties:
**Density of states at the Fermi level**: 9.08 states/eV per cell



5.
The following is a DFT calculation (PBE-GGA) of an optimized crystal structure of SrLiAgF4.

Cell lengths 6.220, 6.784, 6.784 Å; angles 67.41, 62.71, 62.71 degrees
Sites, in units of the cell vectors:
F 0.755 0.745 0.245
F 0.258 0.720 0.765
F 0.245 0.255 0.755
F 0.745 0.255 0.755
F 0.258 0.265 0.220
F 0.742 0.280 0.235
F 0.742 0.735 0.780
F 0.255 0.745 0.245
Sr 0.000 0.000 0.000
Sr 0.000 0.500 0.500
Ag 0.000 0.000 0.500
Ag 0.500 0.000 0.500
Li 0.365 0.385 0.885
Li 0.635 0.615 0.115

Computed properties:
**Density of states at the Fermi level**: 0.00 states/eV per cell



6.
The following is a DFT calculation (PBE-GGA) of an optimized crystal structure of SrLi2AgF.

Cell lengths 4.528, 4.528, 4.998 Å; angles 90.00, 90.00, 90.00 degrees
Sites, in units of the cell vectors:
Li 0.500 0.000 0.000
Li 0.000 0.500 0.000
Sr 0.000 0.000 0.500
F 0.000 0.000 0.000
Ag 0.500 0.500 0.500

Computed properties:
**Density of states at the Fermi level**: 2.48 states/eV per cell



7.
The following is a DFT calculation (PBE-GGA) of an optimized crystal structure of Li2TcAgF8.

Cell lengths 4.734, 4.729, 6.993 Å; angles 89.83, 89.83, 89.30 degrees
Each line ends with the local moment (μB).
Sites, in units of the cell vectors:
Tc 0.000 0.000 0.000  2.11
F 0.313 0.311 0.500  -0.08
F 0.198 0.799 0.796  0.03
F 0.198 0.799 0.204  0.03
F 0.687 0.689 0.500  -0.08
F 0.711 0.714 0.001  0.08
F 0.802 0.201 0.204  0.03
F 0.802 0.201 0.796  0.03
F 0.289 0.286 0.999  0.08
Li 0.499 0.499 0.719  0.00
Li 0.501 0.501 0.281  0.00
Ag 0.000 0.000 0.500  -0.36

Computed properties:
**Density of states at the Fermi level**: 6.55 states/eV per cell



8.
The following is a DFT calculation (PBE-GGA) of an optimized crystal structure of LiTcAgF6.

Cell lengths 5.362, 5.362, 10.518 Å; angles 90.00, 90.00, 120.00 degrees
Each line ends with the local moment (μB).
Sites, in units of the cell vectors:
F 0.629 0.985 0.853  0.06
F 0.015 0.371 0.647  0.06
F 0.985 0.356 0.147  0.06
F 0.371 0.356 0.353  0.06
F 0.629 0.644 0.647  0.06
F 0.985 0.629 0.353  0.06
F 0.371 0.015 0.147  0.06
F 0.356 0.985 0.647  0.06
F 0.015 0.644 0.853  0.06
F 0.356 0.371 0.853  0.06
F 0.644 0.629 0.147  0.06
F 0.644 0.015 0.353  0.06
Tc 0.667 0.333 0.250  2.42
Tc 0.333 0.667 0.750  2.42
Li 0.333 0.667 0.250  0.00
Li 0.667 0.333 0.750  0.00
Ag 0.000 0.000 0.000  0.02
Ag 0.000 0.000 0.500  0.02



9.
The following is a DFT calculation (PBE-GGA) of an optimized crystal structure of LiAgTeF2.

Cell lengths 3.945, 5.131, 3.945 Å; angles 90.00, 90.00, 90.00 degrees
Each line ends with the local moment (μB).
Sites, in units of the cell vectors:
Te 0.500 0.500 0.500  0.20
Li 0.000 0.000 0.000  0.00
F 0.500 0.000 0.000  0.03
F 0.000 0.000 0.500  0.04
Ag 0.000 0.500 0.000  0.01

Computed properties:
**Density of states at the Fermi level**: 2.75 states/eV per cell



10.
The following is a DFT calculation (PBE-GGA) of an optimized crystal structure of LiTiAg2F6.

Cell lengths 5.746, 5.659, 7.951 Å; angles 90.00, 89.97, 90.00 degrees
Each line ends with the local moment (μB).
Sites, in units of the cell vectors:
F 0.061 0.504 0.759  0.00
F 0.767 0.782 0.526  0.00
F 0.939 0.496 0.241  0.00
F 0.561 0.996 0.259  0.00
F 0.723 0.264 0.536  0.00
F 0.733 0.282 0.974  0.00
F 0.277 0.736 0.464  0.00
F 0.233 0.218 0.474  0.00
F 0.439 0.004 0.741  0.00
F 0.267 0.718 0.026  0.00
F 0.777 0.764 0.964  0.00
F 0.223 0.236 0.036  0.00
Li 0.500 0.000 0.000  0.00
Li 0.000 0.500 0.500  0.00
Ag 0.506 0.520 0.750  0.00
Ag 0.494 0.480 0.250  0.00
Ag 0.994 0.020 0.750  0.00
Ag 0.006 0.980 0.250  0.00
Ti 0.000 0.500 0.000  0.68
Ti 0.500 0.000 0.500  0.68

Computed properties:
**Density of states at the Fermi level**: 9.66 states/eV per cell



11.
The following is a DFT calculation (PBE-GGA) of an optimized crystal structure of Li2TlAgF8.

Cell lengths 6.013, 6.013, 6.013 Å; angles 112.08, 112.08, 104.37 degrees
Sites, in units of the cell vectors:
F 0.743 0.041 0.702
F 0.490 0.682 0.808
F 0.959 0.661 0.702
F 0.339 0.041 0.298
F 0.874 0.682 0.192
F 0.959 0.257 0.298
F 0.318 0.126 0.808
F 0.318 0.510 0.192
Li 0.500 0.500 0.000
Li 0.750 0.250 0.500
Tl 0.250 0.750 0.500
Ag 0.000 0.000 0.000

Computed properties:
**Density of states at the Fermi level**: 1.50 states/eV per cell



12.
The following is a DFT calculation (PBE-GGA) of an optimized crystal structure of Li2TlAgF6.

Cell lengths 5.566, 5.566, 5.848 Å; angles 61.58, 61.59, 60.01 degrees
Each line ends with the local moment (μB).
Sites, in units of the cell vectors:
F 0.738 0.170 0.749  0.01
F 0.890 0.620 0.234  0.00
F 0.170 0.343 0.749  0.01
F 0.256 0.890 0.234  0.00
F 0.620 0.256 0.234  0.00
F 0.343 0.738 0.749  0.01
Tl 0.311 0.311 0.068  0.00
Li 0.521 0.521 0.436  0.00
Li 0.020 0.020 0.940  0.00
Ag 0.792 0.792 0.623  0.09



| no. | formation energy (no corrections) (kJ per mole of atoms) | density (g cm⁻³) | total energy (eV per cell) |
| --- | --- | --- | --- |
| 1 | -249 | 3.6 | -58.00 |
| 2 | -191 | 4.4 | -50.30 |
| 3 | -190 | 4.6 | -47.91 |
| 4 | -194 | 4.5 | -81.40 |
| 5 | -260 | 4.2 | -65.54 |
| 6 | -108 | 3.7 | -15.81 |
| 7 | -210 | 3.9 | -58.09 |
| 8 | -203 | 4.1 | -90.60 |
| 9 | -111 | 5.8 | -17.39 |
| 10 | -223 | 4.9 | -99.71 |
| 11 | -181 | 4.8 | -46.56 |
| 12 | -202 | 5.6 | -41.22 |